A plane-wave DFT calculation with GGA-PBE was carried out for crystalline Pm7Ir2Rh2 at its relaxed geometry.

E_tot   -6.381 eV/atom
Calculated volume   317.40 Å³ per cell

Unit cell a=6.811 b=6.995 c=6.811 alpha=90.12 beta=102.02 gamma=89.88
Element x y z (fractional)
Pm  0.999  0.263  0.500
Pm  0.500  0.737  0.999
Pm  0.001  0.737  0.500
Pm  0.500  0.263  0.001
Pm  0.000  0.000  0.000
Pm  0.500  0.744  0.500
Pm  0.500  0.256  0.500
Ir  0.723  0.000  0.277
Ir  0.277  0.000  0.723
Rh  0.772  0.500  0.772
Rh  0.228  0.500  0.228

***

A plane-wave DFT calculation with GGA-PBE was carried out for crystalline TlP2Rh at its relaxed geometry.

E_tot   -5.263 eV/atom
Calculated volume   85.75 Å³ per cell

Unit cell a=4.346 b=4.346 c=6.362 alpha=77.21 beta=77.21 gamma=47.35
Element x y z (fractional)
P  0.957  0.957  0.920
P  0.825  0.825  0.661
Rh  0.534  0.534  0.659
Tl  0.184  0.184  0.260

***

A plane-wave DFT calculation with GGA-PBE was carried out for crystalline NiTeBr2 at its relaxed geometry.

Formation energy from raw total energies   0.626 eV per atom
E_tot   -2.441 eV/atom
Calculated volume   89.53 Å³ per cell

Unit cell a=5.024 b=5.024 c=5.024 alpha=120.08 beta=120.08 gamma=89.85
Each line ends with the local moment (μB).
Element x y z (fractional)
Br  0.000  0.000  0.000  -0.04
Br  0.250  0.750  0.500  0.00
Ni  0.500  0.500  0.000  0.34
Te  0.750  0.250  0.500  -0.01

***

A plane-wave DFT calculation with GGA-PBE was carried out for crystalline Be2FePt at its relaxed geometry.

E_tot   -5.700 eV/atom
Calculated volume   44.37 Å³ per cell

Unit cell a=3.956 b=3.956 c=4.583 alpha=80.20 beta=80.20 gamma=38.98
Each line ends with the local moment (μB).
Element x y z (fractional)
Be  0.999  0.999  0.981  -0.04
Be  0.501  0.501  0.519  -0.04
Fe  0.750  0.750  0.750  1.82
Pt  0.250  0.250  0.250  0.08

***

A plane-wave DFT calculation with GGA-PBE was carried out for crystalline NbHg3Te at its relaxed geometry.

Formation energy from raw total energies   0.817 eV per atom
E_tot   -2.007 eV/atom
Calculated volume   161.32 Å³ per cell

Unit cell a=5.444 b=5.444 c=5.444 alpha=90.00 beta=90.00 gamma=90.00
Element x y z (fractional)
Nb  0.000  0.000  0.000
Te  0.500  0.500  0.500
Hg  0.000  0.500  0.000
Hg  0.000  0.000  0.500
Hg  0.500  0.000  0.000

***

A plane-wave DFT calculation with GGA-PBE was carried out for crystalline Pr6PbS5 at its relaxed geometry.

Formation energy from raw total energies   -1.738 eV per atom
E_tot   -6.157 eV/atom
Calculated volume   314.34 Å³ per cell

Unit cell a=7.269 b=7.269 c=7.286 alpha=99.63 beta=99.63 gamma=119.96
Element x y z (fractional)
Pr  0.435  0.087  0.261
Pr  0.913  0.565  0.739
Pr  0.262  0.262  0.741
Pr  0.738  0.738  0.259
Pr  0.087  0.435  0.261
Pr  0.565  0.913  0.739
Pb  0.000  0.000  0.000
S  0.840  0.160  0.500
S  0.668  0.332  0.000
S  0.500  0.500  0.500
S  0.332  0.668  0.000
S  0.160  0.840  0.500

***

A plane-wave DFT calculation with GGA-PBE was carried out for crystalline CoCu2Pt at its relaxed geometry.

E_tot   -5.321 eV/atom
Calculated volume   51.73 Å³ per cell

Unit cell a=8.592 b=8.592 c=8.592 alpha=17.80 beta=17.80 gamma=17.80
Each line ends with the local moment (μB).
Element x y z (fractional)
Co  0.750  0.750  0.750  1.61
Cu  0.004  0.004  0.004  0.03
Cu  0.496  0.496  0.496  0.03
Pt  0.250  0.250  0.250  0.02

***

A plane-wave DFT calculation with GGA-PBE was carried out for crystalline MnNiSbPd at its relaxed geometry.

Formation energy from raw total energies   -0.169 eV per atom
E_tot   -6.236 eV/atom
Calculated volume   62.39 Å³ per cell

Unit cell a=4.452 b=4.452 c=4.452 alpha=60.00 beta=60.00 gamma=60.00
Each line ends with the local moment (μB).
Element x y z (fractional)
Sb  0.000  0.000  0.000  -0.01
Mn  0.500  0.500  0.500  3.81
Pd  0.750  0.750  0.750  0.08
Ni  0.250  0.250  0.250  0.20